Zr2SbPb | PBE | relaxed

Properties
calculated volume: 23.77 Å³/atom
energy: -6.5391 eV/atom
formation energy without anion corrections: -0.31 eV per atom
offset from the most stable computed form: 36.2 meV per atom

abc: 5.401 5.401 3.430
angles: 98.69 98.69 101.85
Fractional positions:
Zr 0.000 0.500 0.000
Zr 0.500 0.000 0.000
Sb 0.000 0.000 0.500
Pb 0.500 0.500 0.500

***

Tb2Al2Ni15 | PBE | relaxed

Properties
formation enthalpy at 0 K: -0.32 eV/atom
calculated volume: 12.89 Å³/atom
energy: -5.7612 eV/atom

abc: 6.311 6.311 6.311
angles: 82.14 82.14 82.14
Fractional positions:
Tb 0.150 0.150 0.150
Tb 0.850 0.850 0.850
Al 0.397 0.397 0.397
Al 0.603 0.603 0.603
Ni 0.000 0.500 0.500
Ni 0.155 0.155 0.651
Ni 0.155 0.651 0.155
Ni 0.206 0.500 0.794
Ni 0.206 0.794 0.500
Ni 0.349 0.845 0.845
Ni 0.500 0.000 0.500
Ni 0.500 0.206 0.794
Ni 0.500 0.500 0.000
Ni 0.500 0.794 0.206
Ni 0.651 0.155 0.155
Ni 0.794 0.206 0.500
Ni 0.794 0.500 0.206
Ni 0.845 0.349 0.845
Ni 0.845 0.845 0.349

***

UOsSe2 | PBE | relaxed

Properties
calculated volume: 18.95 Å³/atom
energy: -7.1684 eV/atom
formation energy without anion corrections: 0.20 eV per atom

abc: 9.433 9.433 9.433
angles: 18.75 18.75 18.75
Fractional positions:
U 0.000 0.000 0.000
Os 0.500 0.500 0.500
Se 0.415 0.415 0.415
Se 0.585 0.585 0.585

***

Pm4Te3Br4 | PBE | relaxed

Properties
calculated volume: 29.57 Å³/atom
energy: -4.7433 eV/atom
formation energy without anion corrections: -1.55 eV per atom

abc: 10.305 10.305 10.305
angles: 157.49 128.72 56.68
Fractional positions:
Pm 0.224 0.000 0.224
Pm 0.235 0.235 0.000
Pm 0.765 0.765 0.000
Pm 0.776 0.000 0.776
Te 0.096 0.596 0.500
Te 0.500 0.500 0.000
Te 0.904 0.404 0.500
Br 0.140 0.826 0.313
Br 0.487 0.174 0.313
Br 0.513 0.826 0.687
Br 0.860 0.174 0.687

***

Number 1: total magnetization 0.000 μB per formula unit. Number 2: total magnetization 2.095 μB per formula unit. Number 3: total magnetization 0.004 μB per formula unit. Number 4: total magnetization 0.000 μB per formula unit.